--- one ---
VASP calculation (PBE-GGA) on a relaxed structure of CsK2Pt2.

Values from the calculation:
- Space-group type: P4/mbm, No. 127
- Spin magnetization: 0.000 μB/cell

a = 9.7167 Å, b = 9.7167 Å, c = 3.2212 Å
α = 90.00°, β = 90.00°, γ = 90.00°
With the nearest neighbours (Å) after each atom.
Atoms (fractional coordinates):
Cs1 0.0000 0.0000 0.0000  2 Cs 3.22, 4 Pt 3.59
Cs2 0.5000 0.5000 0.0000  2 Cs 3.22, 4 Pt 3.59
K1 0.1231 0.3769 0.5000  3 K 3.22-3.38, 6 Pt 3.23-3.33
K2 0.3769 0.8769 0.5000  3 K 3.22-3.38, 6 Pt 3.23-3.33
K3 0.6231 0.1231 0.5000  3 K 3.22-3.38, 6 Pt 3.23-3.33
K4 0.8769 0.6231 0.5000  3 K 3.22-3.38, 6 Pt 3.23-3.33
Pt1 0.1731 0.6731 0.0000  2 Pt 3.22, 6 K 3.23-3.33, 2 Cs 3.59
Pt2 0.3269 0.1731 0.0000  2 Pt 3.22, 6 K 3.23-3.33, 2 Cs 3.59
Pt3 0.6731 0.8269 0.0000  2 Pt 3.22, 6 K 3.23-3.33, 2 Cs 3.59
Pt4 0.8269 0.3269 0.0000  2 Pt 3.22, 6 K 3.23-3.33, 2 Cs 3.59



--- two ---
VASP calculation (PBE-GGA) on a relaxed structure of CsK2Pt2.

Values from the calculation:
- Space-group type: I4/mmm, No. 139
- Spin magnetization: 1.000 μB/cell

a = 7.4063 Å, b = 7.4063 Å, c = 7.4063 Å
α = 137.76°, β = 137.76°, γ = 61.27°
With the nearest neighbours (Å) after each atom.
Atoms (fractional coordinates):
Cs1 0.0000 0.0000 0.0000  8 Pt 3.98, 8 K 4.16
K1 0.2500 0.7500 0.5000  4 Pt 3.28
K2 0.7500 0.2500 0.5000  4 Pt 3.28
Pt1 0.4002 0.4002 0.0000  1 Pt 2.54
Pt2 0.5998 0.5998 0.0000  1 Pt 2.54



The structure with the least stability is one.



--- one ---
VASP calculation (PBE-GGA) on a relaxed structure of CsKRb2Pt.

Values from the calculation:
- Space-group type: P4/mmm, No. 123
- Spin magnetization: 0.000 μB/cell

a = 6.7327 Å, b = 6.7327 Å, c = 6.8437 Å
α = 90.00°, β = 90.00°, γ = 90.00°
With the nearest neighbours (Å) after each atom.
Atoms (fractional coordinates):
Cs1 0.0000 0.0000 0.0000  2 Pt 3.42
K1 0.5000 0.5000 0.0000  4 Cs 4.76, 8 Rb 4.80
Rb1 0.0000 0.5000 0.5000  2 Pt 3.37
Rb2 0.5000 0.0000 0.5000  2 Pt 3.37
Pt1 0.0000 0.0000 0.5000  4 Rb 3.37, 2 Cs 3.42



--- two ---
VASP calculation (PBE-GGA) on a relaxed structure of CsKRb2Pt.

Values from the calculation:
- Space-group type: P4/mmm, No. 123
- Spin magnetization: 0.000 μB/cell

a = 6.7601 Å, b = 6.7601 Å, c = 6.5467 Å
α = 90.00°, β = 90.00°, γ = 90.00°
With the nearest neighbours (Å) after each atom.
Atoms (fractional coordinates):
Cs1 0.0000 0.0000 0.0000  8 Rb 4.71, 4 K 4.78
K1 0.5000 0.5000 0.0000  2 Pt 3.27
Rb1 0.0000 0.5000 0.5000  2 Pt 3.38
Rb2 0.5000 0.0000 0.5000  2 Pt 3.38
Pt1 0.5000 0.5000 0.5000  2 K 3.27, 4 Rb 3.38



The structure with the least stability is two.



--- one ---
VASP calculation (PBE-GGA) on a relaxed structure of CsK2RbPt.

Values from the calculation:
- Space-group type: P4/mmm, No. 123
- Spin magnetization: 0.000 μB/cell

a = 6.5106 Å, b = 6.5106 Å, c = 6.8268 Å
α = 90.00°, β = 90.00°, γ = 90.00°
With the nearest neighbours (Å) after each atom.
Atoms (fractional coordinates):
Cs1 0.0000 0.0000 0.0000  2 Pt 3.41
K1 0.0000 0.5000 0.5000  2 Pt 3.26
K2 0.5000 0.0000 0.5000  2 Pt 3.26
Rb1 0.5000 0.5000 0.0000  4 Cs 4.60, 8 K 4.72
Pt1 0.0000 0.0000 0.5000  4 K 3.26, 2 Cs 3.41



--- two ---
VASP calculation (PBE-GGA) on a relaxed structure of CsK2RbPt.

Values from the calculation:
- Space-group type: P4/mmm, No. 123
- Spin magnetization: 0.000 μB/cell

a = 6.5214 Å, b = 6.5214 Å, c = 6.7269 Å
α = 90.00°, β = 90.00°, γ = 90.00°
With the nearest neighbours (Å) after each atom.
Atoms (fractional coordinates):
Cs1 0.0000 0.0000 0.0000  4 Rb 4.61, 8 K 4.68
K1 0.0000 0.5000 0.5000  2 Pt 3.26
K2 0.5000 0.0000 0.5000  2 Pt 3.26
Rb1 0.5000 0.5000 0.0000  2 Pt 3.36
Pt1 0.5000 0.5000 0.5000  4 K 3.26, 2 Rb 3.36



The structure with the least stability is two.



--- one ---
VASP calculation (PBE-GGA) on a relaxed structure of Cs3KRb6.

Values from the calculation:
- Space-group type: R-3, No. 148
- Spin magnetization: 0.000 μB/cell

a = 12.7365 Å, b = 12.7365 Å, c = 12.7365 Å
α = 100.95°, β = 100.95°, γ = 100.95°
With the nearest neighbours (Å) after each atom.
Atoms (fractional coordinates):
Cs1 0.1734 0.6032 0.5991  3 Cs 4.65-5.06, 2 Rb 4.90-4.91, 1 K 4.91
Cs2 0.3968 0.4009 0.8266  3 Cs 4.65-5.06, 2 Rb 4.90-4.91, 1 K 4.91
Cs3 0.4009 0.8266 0.3968  3 Cs 4.65-5.06, 2 Rb 4.90-4.91, 1 K 4.91
Cs4 0.5991 0.1734 0.6032  3 Cs 4.65-5.06, 2 Rb 4.90-4.91, 1 K 4.91
Cs5 0.6032 0.5991 0.1734  3 Cs 4.65-5.06, 2 Rb 4.90-4.91, 1 K 4.91
Cs6 0.8266 0.3968 0.4009  3 Cs 4.65-5.06, 2 Rb 4.90-4.91, 1 K 4.91
K1 0.0000 0.0000 0.0000  12 Rb 4.97-5.15
K2 0.5000 0.5000 0.5000  6 Cs 4.91, 6 Rb 5.30
Rb1 0.0012 0.7474 0.2534  4 Cs 4.90-5.42, 1 K 4.97, 6 Rb 4.97-5.13
Rb2 0.1592 0.1597 0.4157  6 Rb 5.03-5.13, 2 K 5.15-5.30, 2 Cs 5.51-5.61
Rb3 0.1597 0.4157 0.1592  6 Rb 5.03-5.13, 2 K 5.15-5.30, 2 Cs 5.51-5.61
Rb4 0.2534 0.0012 0.7474  4 Cs 4.90-5.42, 1 K 4.97, 6 Rb 4.97-5.13
Rb5 0.2526 0.7466 0.9988  4 Cs 4.90-5.42, 1 K 4.97, 6 Rb 4.97-5.13
Rb6 0.4157 0.1592 0.1597  6 Rb 5.03-5.13, 2 K 5.15-5.30, 2 Cs 5.51-5.61
Rb7 0.5843 0.8408 0.8403  6 Rb 5.03-5.13, 2 K 5.15-5.30, 2 Cs 5.51-5.61
Rb8 0.7474 0.2534 0.0012  4 Cs 4.90-5.42, 1 K 4.97, 6 Rb 4.97-5.13
Rb9 0.7466 0.9988 0.2526  4 Cs 4.90-5.42, 1 K 4.97, 6 Rb 4.97-5.13
Rb10 0.8403 0.5843 0.8408  6 Rb 5.03-5.13, 2 K 5.15-5.30, 2 Cs 5.51-5.61
Rb11 0.8408 0.8403 0.5843  6 Rb 5.03-5.13, 2 K 5.15-5.30, 2 Cs 5.51-5.61
Rb12 0.9988 0.2526 0.7466  4 Cs 4.90-5.42, 1 K 4.97, 6 Rb 4.97-5.13



--- two ---
VASP calculation (PBE-GGA) on a relaxed structure of Cs3KRb6.

Values from the calculation:
- Space-group type: P2_1/c, No. 14
- Spin magnetization: 0.000 μB/cell

a = 12.7290 Å, b = 12.1352 Å, c = 16.6165 Å
α = 90.00°, β = 128.87°, γ = 90.00°
With the nearest neighbours (Å) after each atom.
Atoms (fractional coordinates):
Cs1 0.0000 0.0000 0.0000  6 Rb 5.06-5.62
Cs2 0.0000 0.5000 0.5000  6 Rb 5.06-5.62
Cs3 0.3057 0.1349 0.4499  1 K 4.88, 8 Rb 4.90-5.42, 1 Cs 5.26
Cs4 0.3057 0.3651 0.9499  1 K 4.88, 8 Rb 4.90-5.42, 1 Cs 5.26
Cs5 0.6943 0.6349 0.0501  1 K 4.88, 8 Rb 4.90-5.42, 1 Cs 5.26
Cs6 0.6943 0.8651 0.5501  1 K 4.88, 8 Rb 4.90-5.42, 1 Cs 5.26
K1 0.5000 0.0000 0.0000  4 Rb 4.52-4.86, 2 Cs 4.88
K2 0.5000 0.5000 0.5000  4 Rb 4.52-4.86, 2 Cs 4.88
Rb1 0.1279 0.1063 0.6473  5 Rb 4.61-5.10, 1 K 4.86, 3 Cs 5.03-5.14
Rb2 0.1279 0.3937 0.1473  5 Rb 4.61-5.10, 1 K 4.86, 3 Cs 5.03-5.14
Rb3 0.1665 0.7494 0.3024  1 K 4.52, 4 Rb 4.66-5.07, 3 Cs 4.90-5.06
Rb4 0.1665 0.7506 0.8024  1 K 4.52, 4 Rb 4.66-5.07, 3 Cs 4.90-5.06
Rb5 0.4316 0.7006 0.1879  4 Rb 4.84-5.10, 3 Cs 5.11-5.18, 2 K 5.21-5.28
Rb6 0.4316 0.7994 0.6879  4 Rb 4.84-5.10, 3 Cs 5.11-5.18, 2 K 5.21-5.28
Rb7 0.5684 0.2006 0.3121  4 Rb 4.84-5.10, 3 Cs 5.11-5.18, 2 K 5.21-5.28
Rb8 0.5684 0.2994 0.8121  4 Rb 4.84-5.10, 3 Cs 5.11-5.18, 2 K 5.21-5.28
Rb9 0.8335 0.2494 0.1976  1 K 4.52, 4 Rb 4.66-5.07, 3 Cs 4.90-5.06
Rb10 0.8335 0.2506 0.6976  1 K 4.52, 4 Rb 4.66-5.07, 3 Cs 4.90-5.06
Rb11 0.8721 0.6063 0.8527  5 Rb 4.61-5.10, 1 K 4.86, 3 Cs 5.03-5.14
Rb12 0.8721 0.8937 0.3527  5 Rb 4.61-5.10, 1 K 4.86, 3 Cs 5.03-5.14



The structure with the least stability is two.